Record 1
DFT (GGA-PBE) results for crystalline Sm2CuSi3Ni4 at its relaxed geometry.

```
Sm2CuSi3Ni4
1.0
4.0615 0.0000 0.0000
0.0000 4.0615 0.0000
0.0000 0.0000 9.3982
Sm Cu Si Ni
2 1 3 4
direct
0.5000 0.0000 0.2526
0.0000 0.5000 0.7474
0.5000 0.5000 0.5000
0.0000 0.0000 0.5000
0.5000 0.0000 0.8757
0.0000 0.5000 0.1243
0.5000 0.5000 0.0000
0.0000 0.0000 0.0000
0.5000 0.0000 0.6311
0.0000 0.5000 0.3689
```

* raw formation energy: -0.68 eV per atom
* E: -5.977 eV/atom
* SG: P-4m2


Record 2
DFT (GGA-PBE) results for crystalline SrBeCr2N at its relaxed geometry.

```
SrBeCr2N
1.0
-0.2141 4.2073 0.6357
-4.9280 -0.6751 2.8085
2.1437 -0.4431 3.6550
Sr N Be Cr
1 1 1 2
direct
0.0000 0.5000 0.0000
0.5000 0.5000 0.5000
0.0000 0.0000 0.0000
0.0000 0.0000 0.5000
0.5000 0.0000 0.0000
```

* raw formation energy: 1.40 eV per atom
* E: -5.197 eV/atom
* SG: P4/mmm


Record 3
DFT (GGA-PBE) results for crystalline RbAg2HgI6 at its relaxed geometry.

```
RbAg2HgI6
1.0
-3.2412 -8.6145 -0.3328
-1.0061 -4.0876 10.2666
-11.0884 0.1178 -0.3960
Rb Ag Hg I
2 4 2 12
direct
0.2500 0.8602 0.1398
0.7500 0.1398 0.8602
0.4343 0.7593 0.6270
0.0657 0.3730 0.2407
0.5657 0.2407 0.3730
0.9343 0.6270 0.7593
0.2500 0.1822 0.8178
0.7500 0.8178 0.1822
0.1838 0.9354 0.8199
0.3162 0.1801 0.0646
0.8162 0.0646 0.1801
0.6838 0.8199 0.9354
0.4442 0.8745 0.3760
0.0558 0.6240 0.1255
0.5558 0.1255 0.6240
0.9442 0.3760 0.8745
0.2508 0.6003 0.6086
0.2492 0.3914 0.3997
0.7492 0.3997 0.3914
0.7508 0.6086 0.6003
```

* raw formation energy: -0.44 eV per atom
* E: -2.064 eV/atom
* SG: C2/c


Record 4
DFT (GGA-PBE) results for crystalline Sm5Si2P2 at its relaxed geometry.

```
Sm5Si2P2
1.0
7.1941 0.0000 2.6114
0.0000 7.7498 0.0000
1.0951 0.0000 8.1983
Sm Si P
10 4 4
direct
0.0000 0.0000 0.0000
0.5000 0.5000 0.0000
0.4674 0.1669 0.7171
0.8155 0.8331 0.7171
0.3155 0.6669 0.7171
0.9674 0.3331 0.7171
0.5326 0.8331 0.2829
0.1845 0.1669 0.2829
0.6845 0.3331 0.2829
0.0326 0.6669 0.2829
0.1152 0.3842 0.0000
0.8848 0.6158 0.0000
0.3848 0.8842 0.0000
0.6152 0.1158 0.0000
0.1995 0.0000 0.6011
0.6995 0.5000 0.6011
0.8005 0.0000 0.3989
0.3005 0.5000 0.3989
```

* raw formation energy: -1.05 eV per atom
* E: -6.081 eV/atom
* SG: Cmce